# 1
Crystalline FeCoAs6 at its relaxed geometry, computed with GGA-PBE.

a b c (Å): 7.198 7.198 7.177
angles (deg): 109.45 109.52 109.56
Last column: magnetic moment on the atom in μB.
Fractional coordinates of all 16 atoms:
As 0.658 0.810 0.152  0.01
Co 0.000 0.500 0.000  -0.01
Fe 0.500 0.500 0.500  0.87
As 0.152 0.343 0.495  -0.01
Co 0.500 0.000 0.000  -0.01
Fe 0.000 0.000 0.500  0.87
As 0.848 0.341 0.188  0.02
As 0.494 0.152 0.342  0.01
As 0.810 0.152 0.658  0.01
As 0.152 0.659 0.812  0.02
As 0.342 0.494 0.152  0.01
As 0.506 0.848 0.658  0.01
As 0.848 0.657 0.505  -0.01
As 0.658 0.506 0.848  0.01
As 0.342 0.190 0.848  0.01
As 0.190 0.848 0.342  0.01

Results
mass density	6.56	Mg/m³
symmetry	C2/m (12)
ΔH_f (0 K)	-0.226	eV per atom

# 2
Crystalline Sc2ZnNi at its relaxed geometry, computed with GGA-PBE.

a b c (Å): 4.594 3.280 4.596
angles (deg): 90.00 90.00 90.00
Fractional coordinates of all 4 atoms:
Ni 0.500 0.625 0.873
Sc 0.000 0.125 0.876
Zn 0.000 0.625 0.376
Sc 0.500 0.125 0.375

Results
mass density	5.13	Mg/m³
symmetry	Pmm2 (25)
ΔH_f (0 K)	-0.414	eV per atom

# 3
Crystalline MnCrH at its relaxed geometry, computed with GGA-PBE.

a b c (Å): 2.783 2.783 4.162
angles (deg): 109.53 109.53 90.00
Last column: magnetic moment on the atom in μB.
Fractional coordinates of all 3 atoms:
H 0.265 0.265 0.529  0.02
Cr 0.716 0.716 0.432  -1.64
Mn 0.019 0.019 0.038  1.84

Results
mass density	6.31	Mg/m³
symmetry	I4mm (107)

# 4
Crystalline Pm2Hg3Pd5 at its relaxed geometry, computed with GGA-PBE.

a b c (Å): 5.722 9.152 9.152
angles (deg): 92.15 71.78 71.78
Fractional coordinates of all 20 atoms:
Pd 0.144 0.005 0.706
Hg 0.894 0.754 0.458
Hg 0.106 0.246 0.542
Hg 0.606 0.542 0.246
Pd 0.644 0.706 0.005
Pd 0.496 0.254 0.254
Pd 0.504 0.746 0.746
Pm 0.872 0.335 0.921
Pd 0.250 0.500 0.500
Hg 0.250 0.000 0.000
Pm 0.628 0.079 0.665
Pd 0.856 0.995 0.294
Pd 0.750 0.500 0.500
Pd 0.004 0.746 0.746
Pd 0.356 0.294 0.995
Pm 0.372 0.921 0.335
Pd 0.996 0.254 0.254
Hg 0.750 0.000 0.000
Pm 0.128 0.665 0.079
Hg 0.394 0.458 0.754

Results
mass density	11.06	Mg/m³
symmetry	Ibam (72)
ΔH_f (0 K)	-0.430	eV per atom

# 5
Crystalline La2Ge3Au5 at its relaxed geometry, computed with GGA-PBE.

a b c (Å): 6.426 8.930 8.930
angles (deg): 71.68 68.91 68.91
Fractional coordinates of all 20 atoms:
La 0.628 0.115 0.629
La 0.128 0.629 0.115
Au 0.619 0.756 0.005
La 0.872 0.371 0.885
Ge 0.750 0.000 0.000
Au 0.381 0.244 0.995
Au 0.984 0.266 0.266
Ge 0.120 0.242 0.517
Ge 0.380 0.483 0.758
Au 0.516 0.734 0.734
Au 0.750 0.500 0.500
La 0.372 0.885 0.371
Au 0.250 0.500 0.500
Au 0.881 0.995 0.244
Au 0.484 0.266 0.266
Ge 0.880 0.758 0.483
Au 0.119 0.005 0.756
Ge 0.620 0.517 0.242
Au 0.016 0.734 0.734
Ge 0.250 0.000 0.000

Results
mass density	11.28	Mg/m³
symmetry	Ibam (72)
ΔH_f (0 K)	-0.597	eV per atom

# 6
Crystalline Th3Te3Se at its relaxed geometry, computed with GGA-PBE.

a b c (Å): 7.744 7.744 8.120
angles (deg): 90.94 90.94 111.24
Fractional coordinates of all 14 atoms:
Te 0.773 0.227 0.000
Th 0.953 0.953 0.207
Te 0.371 0.371 0.641
Th 0.516 0.821 0.682
Th 0.821 0.516 0.682
Te 0.227 0.773 0.000
Se 0.267 0.267 0.068
Th 0.179 0.484 0.318
Te 0.629 0.629 0.359
Te 0.839 0.161 0.500
Th 0.484 0.179 0.318
Se 0.733 0.733 0.932
Te 0.161 0.839 0.500
Th 0.047 0.047 0.793

Results
mass density	8.48	Mg/m³
raw formation energy	-1.09	eV per atom
symmetry	C2/m (12)

# 7
Crystalline NdCu3Ni at its relaxed geometry, computed with GGA-PBE.

a b c (Å): 4.886 5.558 6.508
angles (deg): 115.28 90.00 90.00
Fractional coordinates of all 10 atoms:
Cu 0.750 0.630 0.702
Nd 0.250 0.391 0.782
Ni 0.000 0.000 0.000
Ni 0.500 0.000 0.000
Cu 0.250 0.928 0.298
Nd 0.750 0.609 0.218
Cu 0.250 0.370 0.298
Cu 0.750 0.189 0.378
Cu 0.250 0.811 0.622
Cu 0.750 0.072 0.702

Results
mass density	8.18	Mg/m³
symmetry	Cmcm (63)
ΔH_f (0 K)	-0.124	eV per atom

# 8
Crystalline Tm8TcAg2 at its relaxed geometry, computed with GGA-PBE.

a b c (Å): 6.028 8.542 8.542
angles (deg): 126.80 104.19 104.19
Fractional coordinates of all 11 atoms:
Tm 0.133 0.281 0.281
Tm 0.654 0.388 0.153
Ag 0.487 0.722 0.301
Tm 0.654 0.153 0.388
Tm 0.286 0.619 0.848
Tm 0.996 0.810 0.188
Tm 0.286 0.848 0.619
Tc 0.264 0.007 0.007
Tm 0.754 0.717 0.717
Tm 0.996 0.188 0.810
Ag 0.487 0.301 0.722

Results
mass density	9.38	Mg/m³
symmetry	Cm (8)
ΔH_f (0 K)	-0.065	eV per atom

# 9
Crystalline AlFe3I at its relaxed geometry, computed with GGA-PBE.

a b c (Å): 4.663 4.663 4.663
angles (deg): 90.00 90.00 90.00
Last column: magnetic moment on the atom in μB.
Fractional coordinates of all 5 atoms:
Fe 0.000 0.000 0.500  2.06
Al 0.500 0.500 0.500  0.01
Fe 0.000 0.500 0.000  2.12
Fe 0.500 0.000 0.000  2.42
I 0.000 0.000 0.000  -0.07

Results
mass density	5.26	Mg/m³
raw formation energy	1.45	eV per atom
symmetry	Pm-3m (221)

# 10
Crystalline BaSb4Pd12 at its relaxed geometry, computed with GGA-PBE.

a b c (Å): 7.793 7.793 7.793
angles (deg): 109.47 109.47 109.47
Fractional coordinates of all 17 atoms:
Pd 0.353 0.509 0.156
Sb 0.000 0.000 0.500
Sb 0.500 0.000 0.000
Pd 0.198 0.844 0.353
Pd 0.156 0.353 0.509
Pd 0.353 0.198 0.844
Pd 0.844 0.647 0.491
Sb 0.500 0.500 0.500
Ba 0.000 0.000 0.000
Pd 0.844 0.353 0.198
Pd 0.156 0.647 0.802
Sb 0.000 0.500 0.000
Pd 0.491 0.844 0.647
Pd 0.647 0.491 0.844
Pd 0.647 0.802 0.156
Pd 0.509 0.156 0.353
Pd 0.802 0.156 0.647

Results
mass density	8.67	Mg/m³
raw formation energy	-0.16	eV per atom
symmetry	Im-3 (204)

# 11
Crystalline NbCu2Pd8 at its relaxed geometry, computed with GGA-PBE.

a b c (Å): 4.624 6.595 6.595
angles (deg): 83.11 78.51 78.51
Fractional coordinates of all 11 atoms:
Pd 0.208 0.328 0.840
Pd 0.792 0.160 0.672
Pd 0.297 0.419 0.419
Pd 0.792 0.672 0.160
Cu 0.546 0.853 0.853
Pd 0.888 0.266 0.266
Pd 0.703 0.581 0.581
Pd 0.112 0.734 0.734
Cu 0.454 0.147 0.147
Nb 0.000 0.000 0.000
Pd 0.208 0.840 0.328

Results
mass density	9.24	Mg/m³
symmetry	C2/m (12)
ΔH_f (0 K)	0.174	eV per atom

# 12
Crystalline ErBrCl at its relaxed geometry, computed with GGA-PBE.

a b c (Å): 3.759 3.759 7.309
angles (deg): 90.00 90.00 120.00
Fractional coordinates of all 3 atoms:
Er 0.667 0.333 0.342
Br 0.000 0.000 0.092
Cl 0.333 0.667 0.566

Results
mass density	5.25	Mg/m³
raw formation energy	-1.71	eV per atom
symmetry	P3m1 (156)

The records above give, respectively, calculated volume values of 285.8; 69.3; 28.4; 427.5; 435.9; 453.7; 159.8; 294.7; 101.4; 364.3; 192.5; 89.5 Å³/cell.
The records above give, respectively, total energy values of -5.6592; -5.3435; -7.0231; -4.0671; -4.6062; -6.1184; -4.6916; -4.7775; -4.6908; -4.9104; -5.2629; -4.4027 eV per atom.